[1]
Density functional theory data (PBEsol) for Al2CdW after structural relaxation.

Computed properties:
DFT formation energy ... 0.603 eV per atom
Total DFT energy (no corrections) ... -20.8 eV per formula unit
Total magnetization ... 0.00 μB/f.u.

a b c (Å): 4.5306 4.5306 4.5306
angles (deg): 60.00 60.00 60.00
Element x y z (fractional)
Al1 0.0000 0.0000 0.0000
Al2 0.2500 0.2500 0.2500
Cd1 0.5000 0.5000 0.5000
W1 0.7500 0.7500 0.7500

---

[2]
Density functional theory data (PBEsol) for CrMoSe2 after structural relaxation.

Computed properties:
Total DFT energy (no corrections) ... -28.0 eV per formula unit
Energy relative to the elements, uncorrected ... 0.417 eV per atom
Total magnetization ... 2.56 μB/f.u.

a b c (Å): 5.0026 5.0026 3.2164
angles (deg): 108.28 108.28 101.78
Element x y z (fractional)
Cr1 0.0000 0.0000 0.0000
Mo1 0.5000 0.5000 0.0000
Se1 0.0000 0.5000 0.0000
Se2 0.5000 0.0000 0.0000

---

[3]
Density functional theory data (PBEsol) for Mg2ZrCd after structural relaxation.

Computed properties:
DFT formation energy ... -0.017 eV per atom
Total DFT energy (no corrections) ... -13.8 eV per formula unit
Total magnetization ... 0.00 μB/f.u.

a b c (Å): 6.0030 6.0030 2.8811
angles (deg): 100.94 100.94 118.72
Element x y z (fractional)
Mg1 0.0000 0.5000 0.0000
Mg2 0.5000 0.0000 0.0000
Zr1 0.0000 0.0000 0.5000
Cd1 0.5000 0.5000 0.5000

---

[4]
Density functional theory data (PBEsol) for CaAl2Ni after structural relaxation.

Computed properties:
DFT formation energy ... 0.127 eV per atom
Total DFT energy (no corrections) ... -16.0 eV per formula unit
Total magnetization ... 0.00 μB/f.u.

a b c (Å): 5.2580 5.2580 2.8577
angles (deg): 90.00 90.00 117.46
Element x y z (fractional)
Ca1 0.0000 0.0000 0.0000
Al1 0.0000 0.5000 0.5000
Al2 0.5000 0.0000 0.5000
Ni1 0.5000 0.5000 0.0000

---

[5]
Density functional theory data (PBEsol) for TeIr2F after structural relaxation.

Computed properties:
Total DFT energy (no corrections) ... -24.7 eV per formula unit
Energy relative to the elements, uncorrected ... 0.094 eV per atom
Total magnetization ... 0.00 μB/f.u.

a b c (Å): 4.3447 4.3447 4.3447
angles (deg): 60.00 60.00 60.00
Element x y z (fractional)
Te1 0.0000 0.0000 0.0000
Ir1 0.2500 0.2500 0.2500
Ir2 0.7500 0.7500 0.7500
F1 0.5000 0.5000 0.5000

---

[6]
Density functional theory data (PBEsol) for LiMnCd after structural relaxation.

Computed properties:
DFT formation energy ... 0.243 eV per atom
Total DFT energy (no corrections) ... -12.2 eV per formula unit
Total magnetization ... 3.63 μB/f.u.

a b c (Å): 4.8618 4.8618 4.8618
angles (deg): 146.98 128.41 62.63
Element x y z (fractional)
Li1 0.0000 0.0000 0.0000
Mn1 0.6717 0.6717 0.0000
Cd1 0.3318 0.3318 0.0000

---

[7]
Density functional theory data (PBEsol) for Zn2SbN after structural relaxation.

Computed properties:
Total DFT energy (no corrections) ... -11.9 eV per formula unit
Energy relative to the elements, uncorrected ... 1.098 eV per atom
Total magnetization ... 1.06 μB/f.u.

a b c (Å): 4.4777 4.4777 4.4777
angles (deg): 60.00 60.00 60.00
Element x y z (fractional)
Zn1 0.2500 0.2500 0.2500
Zn2 0.7500 0.7500 0.7500
Sb1 0.0000 0.0000 0.0000
N1 0.5000 0.5000 0.5000

---

[8]
Density functional theory data (PBEsol) for MnP2Ru after structural relaxation.

Computed properties:
DFT formation energy ... -0.336 eV per atom
Total DFT energy (no corrections) ... -32.9 eV per formula unit
Total magnetization ... 0.00 μB/f.u.

a b c (Å): 3.8526 3.8526 4.8020
angles (deg): 101.54 101.54 42.42
Element x y z (fractional)
Mn1 0.0000 0.0000 0.0000
P1 0.2536 0.2536 0.7752
P2 0.7464 0.7464 0.2248
Ru1 0.5000 0.5000 0.5000

---

[9]
Density functional theory data (PBEsol) for TbHfO4 after structural relaxation.

Computed properties:
Total DFT energy (no corrections) ... -55.5 eV per formula unit
Energy relative to the elements, uncorrected ... -3.162 eV per atom
Total magnetization ... 1.04 μB/f.u.

a b c (Å): 6.3929 6.3929 5.2326
angles (deg): 112.24 112.24 111.49
Element x y z (fractional)
Tb1 0.1270 0.8730 0.7500
Tb2 0.8730 0.1270 0.2500
Hf1 0.3966 0.6034 0.2500
Hf2 0.6034 0.3966 0.7500
O1 0.0869 0.5406 0.3048
O2 0.2393 0.2817 0.7750
O3 0.2817 0.2393 0.2750
O4 0.4594 0.9131 0.1952
O5 0.5406 0.0869 0.8048
O6 0.7183 0.7607 0.7250
O7 0.7607 0.7183 0.2250
O8 0.9131 0.4594 0.6952

---

[10]
Density functional theory data (PBEsol) for Dy3SbO7 after structural relaxation.

Computed properties:
Total DFT energy (no corrections) ... -89.7 eV per formula unit
Energy relative to the elements, uncorrected ... -3.040 eV per atom
Total magnetization ... 0.00 μB/f.u.

a b c (Å): 6.3963 6.3963 7.4406
angles (deg): 90.00 90.00 109.50
Element x y z (fractional)
Dy1 0.0011 0.0011 0.0000
Dy2 0.0325 0.5001 0.2503
Dy3 0.5001 0.0325 0.7497
Dy4 0.4999 0.9675 0.2497
Dy5 0.9675 0.4999 0.7503
Dy6 0.9989 0.9989 0.5000
Sb1 0.5000 0.5000 0.0000
Sb2 0.5000 0.5000 0.5000
O1 0.1301 0.8699 0.7500
O2 0.1364 0.8636 0.2500
O3 0.1760 0.4255 0.9701
O4 0.1765 0.4266 0.5303
O5 0.4255 0.1760 0.0299
O6 0.4266 0.1765 0.4697
O7 0.4283 0.5717 0.2500
O8 0.5717 0.4283 0.7500
O9 0.5734 0.8235 0.9697
O10 0.5745 0.8240 0.5299
O11 0.8235 0.5734 0.0303
O12 0.8240 0.5745 0.4701
O13 0.8636 0.1364 0.7500
O14 0.8699 0.1301 0.2500

---

[11]
Density functional theory data (PBEsol) for ReMoCl after structural relaxation.

Computed properties:
Total DFT energy (no corrections) ... -25.7 eV per formula unit
Energy relative to the elements, uncorrected ... 0.484 eV per atom
Total magnetization ... 0.00 μB/f.u.

a b c (Å): 6.9698 6.6955 2.8935
angles (deg): 83.15 72.51 24.34
Element x y z (fractional)
Re1 0.0000 0.0000 0.0000
Mo1 0.6462 0.6462 0.3538
Cl1 0.3086 0.3086 0.6914

---

[12]
Density functional theory data (PBEsol) for Sc2MnMo after structural relaxation.

Computed properties:
DFT formation energy ... 0.063 eV per atom
Total DFT energy (no corrections) ... -34.5 eV per formula unit
Total magnetization ... 0.00 μB/f.u.

a b c (Å): 5.4225 5.4225 5.4225
angles (deg): 146.30 129.23 62.33
Element x y z (fractional)
Sc1 0.0000 0.0000 0.0000
Sc2 0.7177 0.2177 0.5000
Mn1 0.2497 0.7497 0.5000
Mo1 0.4349 0.4349 0.0000